The following is a DFT calculation (PBE) of a relaxed structure of K2Si2Ru.

Properties
- Size of the total moment: 0.90 μB/f.u.
- D(E_F): 0.770 states/eV per atom
- E: -17.9 eV per cell
- Uncorrected formation energy: 874.3 meV per atom
- Excess energy over the best structure of this formula in the dataset: 658.5 meV/atom

a = 7.7569 Å, b = 7.7569 Å, c = 7.7569 Å
α = 152.09°, β = 152.09°, γ = 39.88°
Closest atoms and distances in Å follow each position.
Element x y z (fractional)
K 0.2500 0.7500 0.5000  4 K 2.65
K 0.7500 0.2500 0.5000  4 K 2.65
Si 0.0775 0.0775 0.0000  1 Si 2.26
Si 0.9225 0.9225 0.0000  1 Si 2.26
Ru 0.5000 0.5000 0.0000  8 Si 2.88



The following is a DFT calculation (PBE) of a relaxed structure of KSiRu.

Properties
- Size of the total moment: 0.00 μB/f.u.
- D(E_F): 0.226 states/eV per atom
- E: -14.7 eV per cell
- Uncorrected formation energy: 372.1 meV per atom
- Excess energy over the best structure of this formula in the dataset: 286.3 meV/atom

a = 3.2376 Å, b = 3.2376 Å, c = 6.9751 Å
α = 90.00°, β = 90.00°, γ = 120.00°
Closest atoms and distances in Å follow each position.
Element x y z (fractional)
K 0.0000 0.0000 0.0000  6 K 3.24, 3 Ru 3.35, 3 Si 3.35
Si 0.3333 0.6667 0.6016  3 Ru 2.35
Ru 0.6667 0.3333 0.3981  3 Si 2.35